Record 1
DFT (PBE-GGA) results for a relaxed ZrBe2As crystal.

Geometry as POSCAR:
```
ZrBe2As
1.0
-3.657 -0.181 5.817
-4.941 -3.532 -3.216
-3.131 -4.096 1.965
Be As Zr
4 2 2
Direct
0.573 0.125 0.250
0.177 0.625 0.250
0.375 0.427 0.750
0.875 0.823 0.750
0.500 0.500 0.000
0.250 0.750 0.500
0.000 0.000 0.000
0.750 0.250 0.500
```

Summary:
total magnetic moment	0.0	μB per cell
DOS(E_F)	1.78	states/eV/f.u.
ΔE_f	0.01	eV/atom

***

Record 2
DFT (PBE-GGA) results for a relaxed Li2CrW crystal.

Geometry as POSCAR:
```
Li2CrW
1.0
2.496 0.000 0.000
0.000 4.705 0.000
0.000 0.000 4.884
Cr Li W
1 2 1
Direct
0.500 0.500 0.750
0.000 0.000 0.999
0.000 0.000 0.501
0.500 0.500 0.250
```

Summary:
total magnetic moment	1.0	μB per cell
DOS(E_F)	2.95	states/eV/f.u.
ΔE to the lowest computed polymorph	1.10	eV/f.u.
ΔE_f	0.60	eV/atom

***

Record 3
DFT (PBE-GGA) results for a relaxed Ba3ErPd2O6 crystal.

Geometry as POSCAR:
```
Ba3ErPd2O6
1.0
6.114 0.000 0.000
-3.057 5.295 0.000
0.000 0.000 6.875
Ba Er Pd O
3 1 2 6
Direct
0.333 0.667 0.639
0.667 0.333 0.361
0.000 0.000 0.000
0.000 0.000 0.500
0.667 0.333 0.853
0.333 0.667 0.147
0.668 0.834 0.309
0.166 0.332 0.309
0.166 0.834 0.309
0.834 0.668 0.691
0.332 0.166 0.691
0.834 0.166 0.691
```

Summary:
total magnetic moment	0.0	μB per cell
ΔE_f (raw)	-1.841	eV per atom
DOS(E_F)	7.95	states/eV/f.u.

***

Record 4
DFT (PBE-GGA) results for a relaxed HfTlS2 crystal.

Geometry as POSCAR:
```
HfTlS2
1.0
-4.773 5.096 -2.420
-0.026 -2.013 -4.186
-8.744 -6.647 3.250
Tl Hf S
4 4 8
Direct
0.385 0.250 0.364
0.115 0.750 0.864
0.615 0.750 0.636
0.885 0.250 0.136
0.065 0.250 0.600
0.435 0.750 0.100
0.935 0.750 0.400
0.565 0.250 0.900
0.827 0.250 0.440
0.673 0.750 0.940
0.173 0.750 0.560
0.327 0.250 0.060
0.354 0.250 0.740
0.146 0.750 0.240
0.646 0.750 0.260
0.854 0.250 0.760
```

Summary:
total magnetic moment	0.0	μB per cell
ΔE_f (raw)	-0.976	eV per atom
DOS(E_F)	0.57	states/eV/f.u.

***

Record 5
DFT (PBE-GGA) results for a relaxed TlCrRe crystal.

Geometry as POSCAR:
```
TlCrRe
1.0
7.348 -0.022 0.014
6.527 2.767 0.000
0.822 -1.088 2.568
Cr Re Tl
1 1 1
Direct
0.984 0.984 0.016
0.353 0.353 0.647
0.662 0.662 0.338
```

Summary:
total magnetic moment	1.2	μB per cell
DOS(E_F)	3.16	states/eV/f.u.
ΔE to the lowest computed polymorph	0.49	eV/f.u.
ΔE_f	0.76	eV/atom

***

Record 6
DFT (PBE-GGA) results for a relaxed Zn22Ni3 crystal.

Geometry as POSCAR:
```
Zn22Ni3
1.0
7.680 -0.006 0.049
4.043 6.530 0.049
2.398 1.334 7.147
Zn Ni
22 3
Direct
0.345 0.739 0.312
0.655 0.261 0.688
0.261 0.655 0.688
0.739 0.345 0.312
0.676 0.324 0.000
0.324 0.676 0.000
0.831 0.831 0.783
0.169 0.169 0.217
0.979 0.979 0.175
0.021 0.021 0.825
0.351 0.351 0.273
0.649 0.649 0.727
0.685 0.685 0.377
0.315 0.315 0.623
0.663 0.023 0.463
0.337 0.977 0.537
0.977 0.337 0.537
0.023 0.663 0.463
0.618 0.998 0.098
0.382 0.002 0.902
0.002 0.382 0.902
0.998 0.618 0.098
0.657 0.657 0.054
0.343 0.343 0.946
0.000 0.000 0.500
```

Summary:
total magnetic moment	0.0	μB per cell
DOS(E_F)	2.62	states/eV/f.u.
ΔE_f	-0.12	eV/atom

***

Record 7
DFT (PBE-GGA) results for a relaxed Rb2NaAuBr crystal.

Geometry as POSCAR:
```
Rb2NaAuBr
1.0
6.826 0.000 0.000
0.000 5.257 0.000
0.000 0.000 6.826
Na Au Br Rb
1 1 1 2
Direct
0.000 0.000 0.000
0.000 0.500 0.000
0.500 0.500 0.500
0.000 0.000 0.500
0.500 0.000 0.000
```

Summary:
total magnetic moment	0.0	μB per cell
ΔE_f (raw)	-0.426	eV per atom
DOS(E_F)	2.40	states/eV/f.u.

***

Record 8
DFT (PBE-GGA) results for a relaxed YCd2Cl crystal.

Geometry as POSCAR:
```
YCd2Cl
1.0
5.339 0.021 -0.010
4.175 3.328 -0.010
1.268 0.446 5.699
Cd Cl Y
2 1 1
Direct
0.996 0.996 0.948
0.744 0.744 0.807
0.519 0.519 0.405
0.241 0.241 0.340
```

Summary:
total magnetic moment	0.0	μB per cell
ΔE_f (raw)	-0.603	eV per atom
DOS(E_F)	2.19	states/eV/f.u.
ΔE to the lowest computed polymorph	0.18	eV/f.u.

***

Record 9
DFT (PBE-GGA) results for a relaxed Nd3Ag crystal.

Geometry as POSCAR:
```
Nd3Ag
1.0
-2.465 2.640 -0.148
-1.584 -1.318 2.865
5.897 5.838 5.944
Nd Ag
3 1
Direct
0.000 0.500 0.469
0.500 0.500 0.162
0.500 0.000 0.726
0.000 0.000 0.977
```

Summary:
total magnetic moment	0.0	μB per cell
DOS(E_F)	5.33	states/eV/f.u.
ΔE to the lowest computed polymorph	0.76	eV/f.u.
ΔE_f	0.10	eV/atom

***

Record 10
DFT (PBE-GGA) results for a relaxed LiMg2Cu crystal.

Geometry as POSCAR:
```
LiMg2Cu
1.0
-6.761 -0.633 2.821
1.550 -6.849 2.179
-1.652 -2.726 5.012
Mg Cu Li
4 2 2
Direct
0.653 0.125 0.250
0.097 0.625 0.250
0.375 0.347 0.750
0.875 0.903 0.750
0.000 0.000 0.000
0.750 0.250 0.500
0.500 0.500 0.000
0.250 0.750 0.500
```

Summary:
total magnetic moment	0.0	μB per cell
DOS(E_F)	1.09	states/eV/f.u.
ΔE_f	0.16	eV/atom

***

Record 11
DFT (PBE-GGA) results for a relaxed Mg3BeAu4 crystal.

Geometry as POSCAR:
```
Mg3BeAu4
1.0
3.172 0.000 0.000
0.000 3.172 0.000
0.000 0.000 13.343
Be Mg Au
1 3 4
Direct
0.500 0.500 0.000
0.500 0.500 0.236
0.500 0.500 0.500
0.500 0.500 0.764
0.000 0.000 0.896
0.000 0.000 0.104
0.000 0.000 0.368
0.000 0.000 0.632
```

Summary:
total magnetic moment	0.0	μB per cell
DOS(E_F)	2.56	states/eV/f.u.
ΔE_f	-0.45	eV/atom

***

Record 12
DFT (PBE-GGA) results for a relaxed HfZr3U2N6 crystal.

Geometry as POSCAR:
```
HfZr3U2N6
1.0
5.748 0.006 -0.001
-2.867 4.982 -0.001
-0.962 -1.666 5.387
Hf Zr U N
1 3 2 6
Direct
0.000 0.000 0.000
0.164 0.836 0.500
0.836 0.164 0.500
0.500 0.500 0.500
0.334 0.666 0.000
0.666 0.334 0.000
0.919 0.591 0.752
0.756 0.756 0.248
0.081 0.409 0.248
0.591 0.919 0.752
0.244 0.244 0.752
0.409 0.081 0.248
```

Summary:
total magnetic moment	0.6	μB per cell
ΔE_f (raw)	-1.599	eV per atom
DOS(E_F)	9.28	states/eV/f.u.

***

total magnetic moment of number 11 (Mg3BeAu4)?
0.0 μB per cell

***

DOS(E_F) of number 6 (Zn22Ni3)?
2.62 states/eV/f.u.